Computed, not measured: crystalline K4YFe at its relaxed geometry at the GGA-PBE level of DFT.

Output
Its spin magnetization is 0.281 μB per atom. The value obtained for the energy of formation is 1.043 eV/atom.

abc: 7.2964 7.2964 7.2964
angles: 60.00 60.00 60.00
Last column: nearest neighbours and their distance in Å.
Fractional positions:
K1 0.3761 0.3761 0.3761  6 K 3.62-3.68
K2 0.3761 0.3761 0.8718  6 K 3.62-3.68
K3 0.3761 0.8718 0.3761  6 K 3.62-3.68
K4 0.8718 0.3761 0.3761  6 K 3.62-3.68
Y1 0.0000 0.0000 0.0000  12 K 4.28, 4 Fe 4.47
Fe1 0.7500 0.7500 0.7500  12 K 4.27, 4 Y 4.47